Below is a relaxed structure of CrSi2, with properties calculated at the GGA-PBE level.

- crystal system = trigonal
- energy relative to the elements, uncorrected (eV/f.u.) = -0.04
- total energy (eV for the cell shown) = -20.5
- SG = P-3m1 (164)

Structure (CIF):
```
data_CrSi2
_space_group_name_H-M_alt 'P 1'
_space_group_IT_number 1
_cell_length_a 2.792
_cell_length_b 2.792
_cell_length_c 5.700
_cell_angle_alpha 90.00
_cell_angle_beta 90.00
_cell_angle_gamma 120.00
loop_
_space_group_symop_operation_xyz
'x,y,z'
loop_
_atom_site_label
_atom_site_type_symbol
_atom_site_fract_x
_atom_site_fract_y
_atom_site_fract_z
Cr1 Cr 0.000 0.000 0.000
Si1 Si 0.333 0.667 0.316
Si2 Si 0.667 0.333 0.684
```